i) A plane-wave DFT calculation with GGA-PBE was carried out for a geometry-optimized KP2Rh structure.

The density of states at the Fermi level is 0.286 states/eV per atom.

The space group is Pm (No. 6) and the conventional cell measures 3.966, 3.360 and 6.271 Å, with angles of 90.00, 90.18 and 90.00 degrees. The asymmetric unit holds K at (0.000, 0.000, 0.000), P at (0.499, 0.500, 0.682), P at (0.500, 0.000, 0.436) and Rh at (0.998, 0.500, 0.482).

***

ii) A plane-wave DFT calculation with GGA-PBE was carried out for a geometry-optimized KP2Rh structure.

The density of states at the Fermi level is 0.693 states/eV per atom.

The space group is Imm2 (No. 44) and the conventional cell measures 3.134, 5.832 and 9.332 Å, with angles of 90.00, 90.00 and 90.00 degrees. The asymmetric unit holds K at (0.000, 0.000, 0.000), P at (0.000, 0.000, 0.518), P at (0.000, 0.500, 0.183) and Rh at (0.000, 0.500, 0.838).

***

Least stable of them? ii).

***

i) A plane-wave DFT calculation with GGA-PBE was carried out for a geometry-optimized KP2Rh structure.

The density of states at the Fermi level is 0.874 states/eV per atom.

The space group is I-4m2 (No. 119) and the conventional cell measures 4.082, 4.082 and 8.601 Å, with angles of 90.00, 90.00 and 90.00 degrees. The asymmetric unit holds K at (0.000, 0.000, 0.000), P at (0.000, 0.000, 0.500), P at (0.000, 0.500, 0.750) and Rh at (0.000, 0.500, 0.250).

***

ii) A plane-wave DFT calculation with GGA-PBE was carried out for a geometry-optimized KP2Rh structure.

The density of states at the Fermi level is 0.196 states/eV per atom.

The space group is Fm-3m (No. 225) and the conventional cell measures 6.480, 6.480 and 6.480 Å, with angles of 90.00, 90.00 and 90.00 degrees. The asymmetric unit holds K at (0.000, 0.000, 0.000), P at (0.250, 0.250, 0.250) and Rh at (0.000, 0.000, 0.500).

***

iii) A plane-wave DFT calculation with GGA-PBE was carried out for a geometry-optimized KP2Rh structure.

The density of states at the Fermi level is 0.441 states/eV per atom.

The space group is P4/mmm (No. 123) and the conventional cell measures 4.122, 4.122 and 4.134 Å, with angles of 90.00, 90.00 and 90.00 degrees. The asymmetric unit holds K at (0.000, 0.000, 0.000), P at (0.000, 0.500, 0.500) and Rh at (0.500, 0.500, 0.000).

***

iv) A plane-wave DFT calculation with GGA-PBE was carried out for a geometry-optimized KP2Rh structure.

The density of states at the Fermi level is 0.379 states/eV per atom.

The space group is Immm (No. 71) and the conventional cell measures 4.118, 6.572 and 7.365 Å, with angles of 90.00, 90.00 and 90.00 degrees. The asymmetric unit holds K at (0.000, 0.000, 0.000), P at (0.000, 0.500, 0.147) and Rh at (0.000, 0.000, 0.500).

***

Least stable of them? i).

***

i) A plane-wave DFT calculation with GGA-PBE was carried out for a geometry-optimized KP2RhS structure.

The density of states at the Fermi level is 1.646 states/eV per atom.

The space group is P4/mmm (No. 123) and the conventional cell measures 5.104, 5.104 and 5.170 Å, with angles of 90.00, 90.00 and 90.00 degrees. The asymmetric unit holds K at (0.000, 0.000, 0.000), P at (0.000, 0.500, 0.000), Rh at (0.500, 0.500, 0.500) and S at (0.000, 0.000, 0.500).

***

ii) A plane-wave DFT calculation with GGA-PBE was carried out for a geometry-optimized KP2RhS structure.

The density of states at the Fermi level is 0.510 states/eV per atom.

The space group is P4/mmm (No. 123) and the conventional cell measures 4.526, 4.526 and 5.465 Å, with angles of 90.00, 90.00 and 90.00 degrees. The asymmetric unit holds K at (0.000, 0.000, 0.000), P at (0.000, 0.500, 0.500), Rh at (0.500, 0.500, 0.500) and S at (0.500, 0.500, 0.000).

***

Least stable of them? i).

***

i) A plane-wave DFT calculation with GGA-PBE was carried out for a geometry-optimized KPRhS2 structure.

The density of states at the Fermi level is 1.104 states/eV per atom.

The space group is P4/mmm (No. 123) and the conventional cell measures 5.031, 5.031 and 4.397 Å, with angles of 90.00, 90.00 and 90.00 degrees. The asymmetric unit holds K at (0.000, 0.000, 0.000), P at (0.500, 0.500, 0.000), Rh at (0.500, 0.500, 0.500) and S at (0.000, 0.500, 0.500).

***

ii) A plane-wave DFT calculation with GGA-PBE was carried out for a geometry-optimized KPRhS2 structure.

The density of states at the Fermi level is 1.597 states/eV per atom.

The space group is P4/mmm (No. 123) and the conventional cell measures 5.277, 5.277 and 5.166 Å, with angles of 90.00, 90.00 and 90.00 degrees. The asymmetric unit holds K at (0.000, 0.000, 0.000), P at (0.000, 0.000, 0.500), Rh at (0.500, 0.500, 0.500) and S at (0.000, 0.500, 0.000).

***

Least stable of them? ii).

***

i) A plane-wave DFT calculation with GGA-PBE was carried out for a geometry-optimized KP2Ru structure.

The density of states at the Fermi level is 0.604 states/eV per atom.

The space group is Cm (No. 8) and the conventional cell measures 7.559, 3.910 and 6.426 Å, with angles of 90.00, 102.11 and 90.00 degrees. The asymmetric unit holds K at (0.000, 0.000, 0.000), P at (0.246, 0.000, 0.634), P at (0.405, 0.000, 0.375) and Ru at (0.215, 0.500, 0.456).

***

ii) A plane-wave DFT calculation with GGA-PBE was carried out for a geometry-optimized KP2Ru structure.

The density of states at the Fermi level is 0.748 states/eV per atom.

The space group is P4mm (No. 99) and the conventional cell measures 3.174, 3.174 and 7.503 Å, with angles of 90.00, 90.00 and 90.00 degrees. The asymmetric unit holds K at (0.000, 0.000, 0.000), P at (0.000, 0.000, 0.508), P at (0.500, 0.500, 0.312) and Ru at (0.500, 0.500, 0.624).

***

iii) A plane-wave DFT calculation with GGA-PBE was carried out for a geometry-optimized KP2Ru structure.

The density of states at the Fermi level is 0.585 states/eV per atom.

The space group is Immm (No. 71) and the conventional cell measures 4.051, 6.508 and 7.552 Å, with angles of 90.00, 90.00 and 90.00 degrees. The asymmetric unit holds K at (0.000, 0.000, 0.000), P at (0.000, 0.500, 0.146) and Ru at (0.000, 0.000, 0.500).

***

Least stable of them? ii).

***

i) A plane-wave DFT calculation with GGA-PBE was carried out for a geometry-optimized KP2Ru structure.

The density of states at the Fermi level is 0.532 states/eV per atom.

The space group is I-42d (No. 122) and the conventional cell measures 6.718, 6.718 and 9.791 Å, with angles of 90.00, 90.00 and 90.00 degrees. The asymmetric unit holds K at (0.000, 0.000, 0.000), P at (0.115, 0.250, 0.625) and Ru at (0.000, 0.000, 0.500).

***

ii) A plane-wave DFT calculation with GGA-PBE was carried out for a geometry-optimized KP2Ru structure.

The density of states at the Fermi level is 0.933 states/eV per atom.

The space group is Imm2 (No. 44) and the conventional cell measures 3.003, 5.501 and 9.509 Å, with angles of 90.00, 90.00 and 90.00 degrees. The asymmetric unit holds K at (0.000, 0.000, 0.000), P at (0.000, 0.000, 0.494), P at (0.000, 0.500, 0.810) and Ru at (0.000, 0.500, 0.177).

***

iii) A plane-wave DFT calculation with GGA-PBE was carried out for a geometry-optimized KP2Ru structure.

The density of states at the Fermi level is 1.088 states/eV per atom.

The space group is I-4m2 (No. 119) and the conventional cell measures 3.997, 3.997 and 8.885 Å, with angles of 90.00, 90.00 and 90.00 degrees. The asymmetric unit holds K at (0.000, 0.000, 0.000), P at (0.000, 0.000, 0.500), P at (0.000, 0.500, 0.750) and Ru at (0.000, 0.500, 0.250).

***

Least stable of them? iii).

***

i) A plane-wave DFT calculation with GGA-PBE was carried out for a geometry-optimized KSbPS2 structure.

The density of states at the Fermi level is 1.068 states/eV per atom.

The space group is P4/mmm (No. 123) and the conventional cell measures 5.281, 5.281 and 5.178 Å, with angles of 90.00, 90.00 and 90.00 degrees. The asymmetric unit holds K at (0.000, 0.000, 0.000), Sb at (0.500, 0.500, 0.500), P at (0.000, 0.000, 0.500) and S at (0.000, 0.500, 0.000).

***

ii) A plane-wave DFT calculation with GGA-PBE was carried out for a geometry-optimized KSbPS2 structure.

The density of states at the Fermi level is 0.827 states/eV per atom.

The space group is P4/mmm (No. 123) and the conventional cell measures 5.202, 5.202 and 5.212 Å, with angles of 90.00, 90.00 and 90.00 degrees. The asymmetric unit holds K at (0.000, 0.000, 0.000), Sb at (0.500, 0.500, 0.500), P at (0.500, 0.500, 0.000) and S at (0.000, 0.500, 0.500).

***

Least stable of them? i).

***

i) A plane-wave DFT calculation with GGA-PBE was carried out for a geometry-optimized KSbP2S structure.

The density of states at the Fermi level is 0.804 states/eV per atom.

The space group is P4/mmm (No. 123) and the conventional cell measures 5.210, 5.210 and 5.295 Å, with angles of 90.00, 90.00 and 90.00 degrees. The asymmetric unit holds K at (0.000, 0.000, 0.000), Sb at (0.500, 0.500, 0.500), P at (0.000, 0.500, 0.500) and S at (0.500, 0.500, 0.000).

***

ii) A plane-wave DFT calculation with GGA-PBE was carried out for a geometry-optimized KSbP2S structure.

The density of states at the Fermi level is 1.359 states/eV per atom.

The space group is P4/mmm (No. 123) and the conventional cell measures 5.192, 5.192 and 5.227 Å, with angles of 90.00, 90.00 and 90.00 degrees. The asymmetric unit holds K at (0.000, 0.000, 0.000), Sb at (0.500, 0.500, 0.500), P at (0.000, 0.500, 0.000) and S at (0.000, 0.000, 0.500).

***

Least stable of them? ii).